16
Lattice="6.765 0.000 0.000 0.000 6.765 0.000 0.000 0.000 6.765" Properties=species:S:1:pos:R:3 comment="ZrTlAgPd PBE relaxed" e_form_ev_per_fu=-0.9 dft_energy_ev_per_cell=-79.4 magnetic_moment_mub_per_fu=0.0 dos_at_fermi_per_ev_atom=0.520 pbc="T T T"
Zr 0.000 0.000 0.000
Zr 0.000 3.382 3.382
Zr 3.382 0.000 3.382
Zr 3.382 3.382 0.000
Tl 0.000 0.000 3.382
Tl 0.000 3.382 0.000
Tl 3.382 0.000 0.000
Tl 3.382 3.382 3.382
Ag 1.691 1.691 1.691
Ag 1.691 5.073 5.073
Ag 5.073 1.691 5.073
Ag 5.073 5.073 1.691
Pd 1.691 1.691 5.073
Pd 1.691 5.073 1.691
Pd 5.073 1.691 1.691
Pd 5.073 5.073 5.073

---

9
Lattice="-1.650 3.690 6.584 1.650 -3.690 6.584 1.650 3.690 -6.584" Properties=species:S:1:pos:R:3 comment="Li2MgGa6 PBE relaxed" e_form_ev_per_fu=-1.7 dft_energy_ev_per_cell=-25.3 magnetic_moment_mub_per_fu=0.0 e_above_lowest_polymorph_ev_per_fu=0.00 dos_at_fermi_per_ev_atom=0.328 pbc="T T T"
Li 0.000 0.000 1.815
Li 0.000 0.000 11.354
Mg 0.000 3.690 0.000
Ga 1.650 2.389 -2.359
Ga 1.650 1.316 0.000
Ga 0.000 1.300 4.225
Ga 1.650 2.389 2.359
Ga 0.000 2.374 6.584
Ga 0.000 1.300 8.943

---

6
Lattice="4.283 0.000 0.000 -2.141 3.709 0.000 0.000 0.000 7.102" Properties=species:S:1:pos:R:3 comment="PrMgGa2Cu2 PBE relaxed" e_form_ev_per_fu=-2.3 dft_energy_ev_per_cell=-23.0 magnetic_moment_mub_per_fu=0.0 dos_at_fermi_per_ev_atom=0.385 pbc="T T T"
Pr 0.000 0.000 0.000
Mg 0.000 0.000 3.551
Ga 0.000 2.473 2.039
Ga 2.141 1.236 5.063
Cu 0.000 2.473 4.865
Cu 2.141 1.236 2.237

---

12
Lattice="4.397 0.000 0.000 -2.199 3.808 0.000 0.000 0.000 23.274" Properties=species:S:1:pos:R:3 comment="PuCdAs2 PBE relaxed" e_form_ev_per_fu=-0.9 dft_energy_ev_per_cell=-76.3 magnetic_moment_mub_per_fu=4.1 e_above_lowest_polymorph_ev_per_fu=1.16 dos_at_fermi_per_ev_atom=3.052 pbc="T T T"
Pu 0.000 0.000 0.000
Pu 0.000 2.539 15.516
Pu 2.199 1.269 7.758
Cd 0.000 0.000 11.637
Cd 0.000 2.539 3.879
Cd 2.199 1.269 19.395
As 0.000 0.000 9.113
As 0.000 0.000 14.161
As 0.000 2.539 1.355
As 0.000 2.539 6.403
As 2.199 1.269 16.871
As 2.199 1.269 21.919

---

4
Lattice="2.766 0.000 0.000 0.000 5.063 0.000 0.000 0.000 5.581" Properties=species:S:1:pos:R:3 comment="TaCd PBE relaxed" e_form_ev_per_fu=0.7 dft_energy_ev_per_cell=-24.1 magnetic_moment_mub_per_fu=0.0 dos_at_fermi_per_ev_atom=0.608 pbc="T T T"
Ta 0.691 1.266 0.429
Ta 2.074 3.797 5.152
Cd 0.691 3.797 2.307
Cd 2.074 1.266 3.275

---

5
Lattice="4.797 0.000 0.000 0.000 4.797 0.000 0.000 0.000 4.797" Properties=species:S:1:pos:R:3 comment="TaCdIr3 PBE relaxed" e_form_ev_per_fu=6.1 dft_energy_ev_per_cell=-33.2 magnetic_moment_mub_per_fu=0.0 e_above_lowest_polymorph_ev_per_fu=0.00 dos_at_fermi_per_ev_atom=0.418 pbc="T T T"
Ta 0.000 0.000 0.000
Cd 2.399 2.399 2.399
Ir 0.000 0.000 2.399
Ir 0.000 2.399 0.000
Ir 2.399 0.000 0.000

---

16
Lattice="6.352 0.000 0.000 0.000 6.352 0.000 0.000 0.000 6.352" Properties=species:S:1:pos:R:3 comment="HgPbN2 PBE relaxed" dft_energy_ev_per_cell=-55.1 magnetic_moment_mub_per_fu=2.0 e_above_lowest_polymorph_ev_per_fu=6.19 dos_at_fermi_per_ev_atom=0.699 formation_energy_uncorrected_ev_per_fu=6.90 pbc="T T T"
Hg 0.000 0.000 0.000
Hg 0.000 3.176 3.176
Hg 3.176 0.000 3.176
Hg 3.176 3.176 0.000
Pb 0.000 0.000 3.176
Pb 0.000 3.176 0.000
Pb 3.176 0.000 0.000
Pb 3.176 3.176 3.176
N 1.588 1.588 1.588
N 1.588 1.588 4.764
N 1.588 4.764 1.588
N 1.588 4.764 4.764
N 4.764 1.588 1.588
N 4.764 1.588 4.764
N 4.764 4.764 1.588
N 4.764 4.764 4.764

---

6
Lattice="0.000 3.500 3.500 3.500 0.000 3.500 3.500 3.500 0.000" Properties=species:S:1:pos:R:3 comment="TaAlSi4 PBE relaxed" dft_energy_ev_per_cell=-36.0 magnetic_moment_mub_per_fu=0.0 dos_at_fermi_per_ev_atom=0.833 formation_energy_uncorrected_ev_per_fu=1.32 pbc="T T T"
Ta 0.000 0.000 0.000
Al 1.750 1.750 1.750
Si 4.379 2.621 2.621
Si 2.621 4.379 2.621
Si 2.621 2.621 4.379
Si 4.379 4.379 4.379

---

10
Lattice="8.092 0.000 0.000 0.000 8.092 0.000 0.000 0.000 3.734" Properties=species:S:1:pos:R:3 comment="Bi2Pt2I PBE relaxed" dft_energy_ev_per_cell=-42.8 magnetic_moment_mub_per_fu=0.0 e_above_lowest_polymorph_ev_per_fu=1.34 dos_at_fermi_per_ev_atom=0.386 formation_energy_uncorrected_ev_per_fu=-0.02 pbc="T T T"
Bi 1.216 2.830 0.000
Bi 2.830 6.876 0.000
Bi 5.262 1.216 0.000
Bi 6.876 5.262 0.000
Pt 1.046 5.093 1.867
Pt 3.000 1.046 1.867
Pt 5.093 7.046 1.867
Pt 7.046 3.000 1.867
I 0.000 0.000 1.867
I 4.046 4.046 1.867

---

16
Lattice="9.513 0.000 0.000 0.000 12.907 0.000 -4.722 0.000 6.498" Properties=species:S:1:pos:R:3 comment="CdPtI6 PBE relaxed" dft_energy_ev_per_cell=-35.8 magnetic_moment_mub_per_fu=0.0 formation_energy_uncorrected_ev_per_fu=-1.65 pbc="T T T"
Cd 0.000 0.000 0.000
Cd 4.756 6.454 0.000
Pt -2.361 6.454 3.249
Pt 2.396 0.000 3.249
I -2.179 0.000 4.616
I -1.653 4.592 4.960
I -1.653 8.315 4.960
I 1.687 1.861 1.538
I 1.687 11.046 1.538
I 2.214 6.454 1.882
I 2.578 6.454 4.616
I 3.104 1.861 4.960
I 3.104 11.046 4.960
I 6.444 4.592 1.538
I 6.444 8.315 1.538
I 6.970 0.000 1.882

---

12
Lattice="3.244 0.000 0.000 -1.622 2.809 0.000 0.000 0.000 20.119" Properties=species:S:1:pos:R:3 comment="Sc2PtO PBE relaxed" dft_energy_ev_per_cell=-93.5 magnetic_moment_mub_per_fu=0.0 dos_at_fermi_per_ev_atom=0.222 formation_energy_uncorrected_ev_per_fu=-7.49 pbc="T T T"
Sc 0.000 0.000 4.688
Sc 0.000 0.000 15.431
Sc 0.000 1.873 8.725
Sc 0.000 1.873 18.100
Sc 1.622 0.936 2.018
Sc 1.622 0.936 11.394
Pt 0.000 0.000 0.000
Pt 0.000 1.873 13.412
Pt 1.622 0.936 6.706
O 0.000 0.000 10.059
O 0.000 1.873 3.353
O 1.622 0.936 16.766

---

5
Lattice="5.514 0.000 0.000 0.000 5.514 0.000 0.000 0.000 5.314" Properties=species:S:1:pos:R:3 comment="RbLa2BeRu PBE relaxed" e_form_ev_per_fu=6.0 dft_energy_ev_per_cell=-17.8 magnetic_moment_mub_per_fu=0.5 dos_at_fermi_per_ev_atom=1.071 pbc="T T T"
Rb 0.000 0.000 0.000
La 0.000 2.757 2.657
La 2.757 0.000 2.657
Be 0.000 0.000 2.657
Ru 2.757 2.757 0.000

---

4
Lattice="3.370 0.000 0.000 0.000 3.370 0.000 0.000 0.000 6.803" Properties=species:S:1:pos:R:3 comment="Hf2AgW PBE relaxed" e_form_ev_per_fu=-0.1 dft_energy_ev_per_cell=-35.8 magnetic_moment_mub_per_fu=0.0 e_above_lowest_polymorph_ev_per_fu=0.00 dos_at_fermi_per_ev_atom=0.832 pbc="T T T"
Hf 0.000 0.000 1.569
Hf 0.000 0.000 5.234
Ag 1.685 1.685 3.402
W 1.685 1.685 0.000

---

14
Lattice="7.711 0.000 0.000 -1.682 7.756 0.000 -0.893 -3.710 7.121" Properties=species:S:1:pos:R:3 comment="Sr4IN2 PBE relaxed" dft_energy_ev_per_cell=-59.9 magnetic_moment_mub_per_fu=0.8 e_above_lowest_polymorph_ev_per_fu=0.94 dos_at_fermi_per_ev_atom=0.282 formation_energy_uncorrected_ev_per_fu=-5.02 pbc="T T T"
Sr 0.000 0.000 0.000
Sr -0.496 -1.680 3.675
Sr -1.278 2.079 4.083
Sr -0.115 4.454 0.982
Sr 3.994 -2.482 4.813
Sr 4.370 -0.630 1.876
Sr 3.677 3.646 2.079
Sr 3.612 1.342 5.622
I 1.584 0.999 2.856
I 1.339 -1.139 6.377
N 1.712 5.022 2.480
N 5.251 -0.113 4.223
N 4.538 3.694 4.663
N 5.248 5.634 1.082

---

8
Lattice="4.091 0.000 0.000 0.000 5.068 0.000 0.000 0.000 8.754" Properties=species:S:1:pos:R:3 comment="LiSb2As PBE relaxed" dft_energy_ev_per_cell=-29.6 magnetic_moment_mub_per_fu=0.0 dos_at_fermi_per_ev_atom=0.312 formation_energy_uncorrected_ev_per_fu=0.01 pbc="T T T"
Li 0.000 0.000 0.000
Li 2.045 2.534 0.000
Sb 0.000 0.000 3.828
Sb 0.000 2.534 6.574
Sb 2.045 0.000 6.574
Sb 2.045 2.534 3.828
As 0.000 2.534 1.759
As 2.045 0.000 1.759

---

10
Lattice="6.493 0.000 0.000 -3.246 5.623 0.000 0.000 0.000 8.965" Properties=species:S:1:pos:R:3 comment="Tl3InPb6 PBE relaxed" e_form_ev_per_fu=0.8 dft_energy_ev_per_cell=-31.3 magnetic_moment_mub_per_fu=0.0 e_above_lowest_polymorph_ev_per_fu=0.48 dos_at_fermi_per_ev_atom=0.597 pbc="T T T"
Tl 0.000 0.000 0.000
Tl 0.000 3.749 0.000
Tl 3.246 1.874 0.000
In 0.000 0.000 4.482
Pb -1.389 2.406 2.845
Pb -1.857 3.217 6.120
Pb 2.779 0.000 2.845
Pb 1.389 2.406 6.120
Pb 3.714 0.000 6.120
Pb 1.857 3.217 2.845

---

4
Lattice="3.601 0.000 0.000 0.000 3.601 0.000 0.000 0.000 3.653" Properties=species:S:1:pos:R:3 comment="Mn2FeCu PBE relaxed" e_form_ev_per_fu=0.5 dft_energy_ev_per_cell=-30.4 magnetic_moment_mub_per_fu=0.8 e_above_lowest_polymorph_ev_per_fu=0.04 dos_at_fermi_per_ev_atom=0.749 pbc="T T T"
Mn 0.000 1.801 0.000
Mn 1.801 0.000 0.000
Fe 0.000 0.000 1.827
Cu 1.801 1.801 1.827

---

16
Lattice="3.282 -4.325 0.000 3.282 4.325 0.000 -2.929 0.000 6.440" Properties=species:S:1:pos:R:3 comment="BIrPbO5 PBE relaxed" dft_energy_ev_per_cell=-108.1 magnetic_moment_mub_per_fu=0.3 dos_at_fermi_per_ev_atom=0.447 formation_energy_uncorrected_ev_per_fu=-10.03 pbc="T T T"
B 1.085 2.680 4.830
B 2.550 -2.680 1.610
Ir 3.282 0.000 0.000
Ir 1.818 0.000 3.220
Pb 2.550 3.000 1.610
Pb 1.085 -3.000 4.830
O -0.033 0.696 2.600
O 0.105 1.867 5.623
O -1.498 -0.696 5.820
O 2.065 1.867 4.037
O 2.550 0.668 1.610
O 1.085 -0.668 4.830
O 1.570 -1.867 2.403
O 5.133 0.696 0.620
O 3.530 -1.867 0.817
O 3.669 -0.696 3.840

---

14
Lattice="1.946 -5.421 0.000 1.946 5.421 0.000 0.000 0.000 14.742" Properties=species:S:1:pos:R:3 comment="LaPa2Pt4 PBE relaxed" e_form_ev_per_fu=-7.2 dft_energy_ev_per_cell=-110.6 magnetic_moment_mub_per_fu=0.0 dos_at_fermi_per_ev_atom=0.987 pbc="T T T"
La 1.946 4.602 11.056
La 1.946 -4.602 3.685
Pa 1.946 1.672 8.773
Pa 1.946 1.672 13.340
Pa 1.946 -1.672 1.402
Pa 1.946 -1.672 5.969
Pt 0.000 0.000 0.000
Pt 0.000 0.000 7.371
Pt 1.946 3.357 3.685
Pt 1.946 1.563 1.437
Pt 1.946 1.563 5.934
Pt 1.946 -1.563 8.808
Pt 1.946 -1.563 13.305
Pt 1.946 -3.357 11.056

---

6
Lattice="4.071 0.000 0.000 -1.923 6.112 0.000 -2.033 -2.438 6.596" Properties=species:S:1:pos:R:3 comment="ZnTeSe PBE relaxed" dft_energy_ev_per_cell=-17.6 magnetic_moment_mub_per_fu=0.0 e_above_lowest_polymorph_ev_per_fu=0.15 formation_energy_uncorrected_ev_per_fu=-0.88 pbc="T T T"
Zn 0.000 0.000 0.000
Zn 0.169 3.726 1.613
Te -1.895 3.592 3.475
Te 0.237 1.653 4.707
Se -1.901 0.145 6.035
Se 2.037 0.040 1.361

---

12
Lattice="3.527 0.000 0.000 -1.763 3.054 0.000 0.000 0.000 27.208" Properties=species:S:1:pos:R:3 comment="AlGaCl2 PBE relaxed" dft_energy_ev_per_cell=-35.8 magnetic_moment_mub_per_fu=0.0 e_above_lowest_polymorph_ev_per_fu=0.18 dos_at_fermi_per_ev_atom=0.331 formation_energy_uncorrected_ev_per_fu=-1.49 pbc="T T T"
Al 0.000 0.000 0.000
Al 0.000 2.036 18.138
Al 1.763 1.018 9.069
Ga 0.000 0.000 13.604
Ga 0.000 2.036 4.535
Ga 1.763 1.018 22.673
Cl 0.000 0.000 10.870
Cl 0.000 0.000 16.338
Cl 0.000 2.036 1.800
Cl 0.000 2.036 7.269
Cl 1.763 1.018 19.939
Cl 1.763 1.018 25.407

---

4
Lattice="4.459 0.000 0.000 0.000 4.459 0.000 0.000 0.000 3.548" Properties=species:S:1:pos:R:3 comment="TeIr2Se PBE relaxed" dft_energy_ev_per_cell=-22.1 magnetic_moment_mub_per_fu=0.0 e_above_lowest_polymorph_ev_per_fu=2.14 dos_at_fermi_per_ev_atom=1.143 formation_energy_uncorrected_ev_per_fu=2.22 pbc="T T T"
Te 0.000 0.000 0.000
Ir 0.000 2.230 1.774
Ir 2.230 0.000 1.774
Se 2.230 2.230 0.000

---

6
Lattice="2.943 0.000 0.000 0.000 2.943 0.000 0.000 0.000 10.691" Properties=species:S:1:pos:R:3 comment="CrReAg PBE relaxed" e_form_ev_per_fu=1.5 dft_energy_ev_per_cell=-46.9 magnetic_moment_mub_per_fu=0.8 e_above_lowest_polymorph_ev_per_fu=0.17 dos_at_fermi_per_ev_atom=0.779 pbc="T T T"
Cr 0.000 0.000 0.000
Cr 1.471 1.471 5.345
Re 0.000 0.000 6.638
Re 1.471 1.471 1.293
Ag 0.000 0.000 3.399
Ag 1.471 1.471 8.744

---

5
Lattice="5.220 0.000 0.000 0.000 5.220 0.000 0.000 0.000 5.220" Properties=species:S:1:pos:R:3 comment="SrAg3Au PBE relaxed" e_form_ev_per_fu=0.2 dft_energy_ev_per_cell=-13.3 magnetic_moment_mub_per_fu=0.0 e_above_lowest_polymorph_ev_per_fu=1.50 dos_at_fermi_per_ev_atom=0.391 pbc="T T T"
Sr 0.000 0.000 0.000
Ag 0.000 2.610 2.610
Ag 2.610 0.000 2.610
Ag 2.610 2.610 0.000
Au 2.610 2.610 2.610

---

4
Lattice="4.289 0.000 0.000 0.000 3.032 0.000 0.000 0.000 9.200" Properties=species:S:1:pos:R:3 comment="KNi PBE relaxed" e_form_ev_per_fu=1.4 dft_energy_ev_per_cell=-11.1 magnetic_moment_mub_per_fu=0.5 e_above_lowest_polymorph_ev_per_fu=0.33 dos_at_fermi_per_ev_atom=0.988 pbc="T T T"
K 1.072 0.000 2.130
K 3.217 0.000 7.071
Ni 1.072 1.516 4.949
Ni 3.217 1.516 4.252

---

3
Lattice="3.814 0.000 0.000 1.880 3.986 0.000 0.028 0.536 4.897" Properties=species:S:1:pos:R:3 comment="TlPAu PBE relaxed" e_form_ev_per_fu=0.8 dft_energy_ev_per_cell=-10.3 magnetic_moment_mub_per_fu=0.0 e_above_lowest_polymorph_ev_per_fu=0.94 dos_at_fermi_per_ev_atom=0.485 pbc="T T T"
Tl 0.000 0.000 0.000
P 3.803 2.255 1.574
Au 1.898 2.342 2.992

---

5
Lattice="4.864 0.000 0.000 0.000 4.864 0.000 0.000 0.000 4.921" Properties=species:S:1:pos:R:3 comment="YHo2AgC PBE relaxed" e_form_ev_per_fu=-1.1 dft_energy_ev_per_cell=-28.8 magnetic_moment_mub_per_fu=0.8 dos_at_fermi_per_ev_atom=1.358 pbc="T T T"
Y 0.000 0.000 0.000
Ho 0.000 2.432 2.460
Ho 2.432 0.000 2.460
Ag 2.432 2.432 0.000
C 0.000 0.000 2.460